Here is a relaxed structure of Sr4MgRh3O12 from the Alexandria database. Energies are from PBE-GGA.

Final energy, eV/atom: -6.2278
Spin magnetization, μB per cell: 6.28
Symmetry: Im-3m (229)
Uncorrected formation energy, eV per atom: -1.73
Crystal system: cubic

abc: 6.918 6.918 6.918
angles: 109.47 109.47 109.47
Last column: magnetic moment on the atom in μB.
Fractional coordinates of all 20 atoms:
1 Sr 0.500 0.500 0.500  0.01
2 Sr 0.000 0.000 0.500  0.01
3 Sr 0.500 0.000 0.000  0.01
4 Sr 0.000 0.500 0.000  0.01
5 Mg 0.000 0.000 0.000  -0.01
6 Rh 0.500 0.000 0.500  1.17
7 Rh 0.500 0.500 0.000  1.17
8 Rh 0.000 0.500 0.500  1.17
9 O 0.250 0.500 0.750  0.16
10 O 0.744 0.000 0.744  0.20
11 O 0.256 0.000 0.256  0.20
12 O 0.750 0.500 0.250  0.16
13 O 0.744 0.744 0.000  0.20
14 O 0.256 0.256 0.000  0.20
15 O 0.750 0.250 0.500  0.16
16 O 0.250 0.750 0.500  0.16
17 O 0.500 0.250 0.750  0.16
18 O 0.000 0.744 0.744  0.20
19 O 0.500 0.750 0.250  0.16
20 O 0.000 0.256 0.256  0.20